A relaxed structure of KHg3F6, computed with PBE.

- ΔE_f (raw): -1.6126 eV/atom
- Uncorrected energy: -29.36 eV/f.u.
- Space-group type: P2_1/m, No. 11

The structure in POSCAR format:
```
KHg3F6
1.0
9.433 0.000 0.000
0.000 3.615 0.000
-4.417 0.000 9.584
K Hg F
2 6 12
Direct
0.102 0.250 0.220 K
0.898 0.750 0.780 K
0.191 0.250 0.610 Hg
0.311 0.750 0.998 Hg
0.463 0.750 0.648 Hg
0.537 0.250 0.352 Hg
0.689 0.250 0.002 Hg
0.809 0.750 0.390 Hg
0.082 0.750 0.437 F
0.133 0.250 0.967 F
0.175 0.750 0.754 F
0.343 0.750 0.235 F
0.368 0.250 0.472 F
0.492 0.250 0.104 F
0.508 0.750 0.896 F
0.632 0.750 0.528 F
0.657 0.250 0.765 F
0.825 0.250 0.246 F
0.867 0.750 0.033 F
0.918 0.250 0.563 F
```



A relaxed structure of KHgF3, computed with PBE.

- ΔE_f (raw): -1.9769 eV/atom
- Uncorrected energy: -16.90 eV/f.u.
- Space-group type: Cmcm, No. 63

The structure in POSCAR format:
```
KHgF3
1.0
5.984 -4.743 0.000
5.984 4.743 0.000
0.000 0.000 6.171
K Hg F
4 4 12
Direct
0.030 0.970 0.750 K
0.352 0.648 0.250 K
0.648 0.352 0.750 K
0.970 0.030 0.250 K
0.128 0.442 0.750 Hg
0.442 0.128 0.250 Hg
0.558 0.872 0.750 Hg
0.872 0.558 0.250 Hg
0.042 0.687 0.004 F
0.042 0.687 0.496 F
0.313 0.958 0.004 F
0.313 0.958 0.496 F
0.360 0.360 0.000 F
0.360 0.360 0.500 F
0.640 0.640 0.000 F
0.640 0.640 0.500 F
0.687 0.042 0.504 F
0.687 0.042 0.996 F
0.958 0.313 0.504 F
0.958 0.313 0.996 F
```



A relaxed structure of KHg2F8, computed with PBE.

- ΔE_f (raw): -1.3585 eV/atom
- Uncorrected energy: -31.62 eV/f.u.
- Space-group type: P-1, No. 2

The structure in POSCAR format:
```
KHg2F8
1.0
5.199 0.000 0.000
0.574 6.648 0.000
0.603 1.999 6.385
K Hg F
1 2 8
Direct
0.000 0.000 0.000 K
0.271 0.368 0.369 Hg
0.729 0.632 0.631 Hg
0.240 0.559 0.560 F
0.263 0.113 0.623 F
0.266 0.624 0.116 F
0.297 0.181 0.182 F
0.703 0.819 0.818 F
0.734 0.376 0.884 F
0.737 0.887 0.377 F
0.760 0.441 0.440 F
```